Density functional theory data (PBE) for a relaxed structure of SmBiB.

Computed properties:
magnetic moment: 0.00 μB/f.u.
E_tot: -12.9 eV per formula unit

a = 6.961 Å, b = 6.961 Å, c = 6.961 Å
α = 90.00°, β = 90.00°, γ = 90.00°
Space group F-43m (No. 216)
One atom of each set of equivalent atoms:
Sm  0.000  0.000  0.000 [4 per cell]
Bi  0.250  0.250  0.250 [4 per cell]
B  0.250  0.250  0.750 [4 per cell]

***

Density functional theory data (PBE) for a relaxed structure of NaFeBTe.

Computed properties:
magnetic moment: 2.70 μB/f.u.
E_tot: -14.6 eV per formula unit

a = 6.609 Å, b = 6.609 Å, c = 6.609 Å
α = 90.00°, β = 90.00°, γ = 90.00°
Space group F-43m (No. 216)
One atom of each set of equivalent atoms:
Na  0.000  0.000  0.000 [4 per cell]
Fe  0.250  0.250  0.750 [4 per cell]
B  0.000  0.000  0.500 [4 per cell]
Te  0.250  0.250  0.250 [4 per cell]

***

Density functional theory data (PBE) for a relaxed structure of TlCuPdSe2S.

Computed properties:
E_tot: -23.7 eV per formula unit

a = 3.846 Å, b = 12.882 Å, c = 10.358 Å
α = 90.00°, β = 90.00°, γ = 90.00°
Space group Cmcm (No. 63)
One atom of each set of equivalent atoms:
Tl  0.000  0.236  0.250 [4 per cell]
Cu  0.000  0.063  0.750 [4 per cell]
Pd  0.000  0.500  0.000 [4 per cell]
Se  0.000  0.127  0.529 [8 per cell]
S  0.000  0.468  0.750 [4 per cell]

***

Density functional theory data (PBE) for a relaxed structure of TbTmZn.

Computed properties:
formation enthalpy at 0 K: 0.017 eV/atom
magnetic moment: 0.01 μB/f.u.
E_tot: -10.3 eV per formula unit

a = 6.954 Å, b = 6.954 Å, c = 6.954 Å
α = 90.00°, β = 90.00°, γ = 90.00°
Space group F-43m (No. 216)
One atom of each set of equivalent atoms:
Tb  0.000  0.000  0.000 [4 per cell]
Tm  0.000  0.000  0.500 [4 per cell]
Zn  0.250  0.250  0.250 [4 per cell]

***

Density functional theory data (PBE) for a relaxed structure of TcBiIr2.

Computed properties:
magnetic moment: 0.71 μB/f.u.
E_tot: -29.7 eV per formula unit

a = 6.482 Å, b = 6.482 Å, c = 6.482 Å
α = 90.00°, β = 90.00°, γ = 90.00°
Space group F-43m (No. 216)
One atom of each set of equivalent atoms:
Tc  0.000  0.000  0.000 [4 per cell]
Bi  0.250  0.250  0.750 [4 per cell]
Ir  0.000  0.000  0.500 [4 per cell]
Ir  0.250  0.250  0.250 [4 per cell]

***

Density functional theory data (PBE) for a relaxed structure of ErCuSi.

Computed properties:
magnetic moment: 0.00 μB/f.u.
E_tot: -15.2 eV per formula unit

a = 6.090 Å, b = 6.090 Å, c = 6.090 Å
α = 90.00°, β = 90.00°, γ = 90.00°
Space group F-43m (No. 216)
One atom of each set of equivalent atoms:
Er  0.000  0.000  0.000 [4 per cell]
Cu  0.250  0.250  0.250 [4 per cell]
Si  0.000  0.000  0.500 [4 per cell]